Below is an optimized crystal structure of Sm2Dy2Ag, with properties calculated at the PBE level.

```
Sm2Dy2Ag
1.0
3.550 0.000 -0.570
-0.091 3.549 -0.570
0.058 0.059 11.708
Sm Dy Ag
2 2 1
direct
0.806 0.806 0.613
0.194 0.194 0.387
0.582 0.582 0.164
0.418 0.418 0.836
0.000 0.000 0.000
```

Results
SG ... No. 139
DOS at the Fermi energy ... 1.245 states/eV per atom
DFT formation energy ... -10 kJ per mole of atoms
Total energy ... -22.01 eV per cell